Record 1
## ScSb2As (PBE)

Data for a relaxed ScSb2As crystal.

Computed properties:
The space-group type is R3m, No. 160. The raw formation energy is -0.14 eV/atom. The density of states at the Fermi level comes out at 3.420 states/eV/f.u.

The structure in CIF format:
```
data_ScSb2As
_cell_length_a 9.8264
_cell_length_b 9.8264
_cell_length_c 9.8264
_cell_angle_alpha 20.14
_cell_angle_beta 20.14
_cell_angle_gamma 20.14
_symmetry_space_group_name_H-M 'P 1'
_symmetry_Int_Tables_number 1
_symmetry_space_group_name_Hall 'P 1'
loop_
_atom_site_label
_atom_site_type_symbol
_atom_site_fract_x
_atom_site_fract_y
_atom_site_fract_z
_atom_site_occupancy
Sb1 Sb 0.0141 0.0141 0.0141 1
Sb2 Sb 0.2384 0.2384 0.2384 1
As1 As 0.7567 0.7567 0.7567 1
Sc1 Sc 0.4908 0.4908 0.4908 1
```

Record 2
## Sc6Sb5As (PBE)

Data for a relaxed Sc6Sb5As crystal.

Computed properties:
The space-group type is C2/m, No. 12. The raw formation energy is -1.00 eV/atom. The density of states at the Fermi level comes out at 2.036 states/eV/f.u.

The structure in CIF format:
```
data_Sc6Sb5As
_cell_length_a 7.1312
_cell_length_b 7.1312
_cell_length_c 7.1257
_cell_angle_alpha 99.62
_cell_angle_beta 99.62
_cell_angle_gamma 119.93
_symmetry_space_group_name_H-M 'P 1'
_symmetry_Int_Tables_number 1
_symmetry_space_group_name_Hall 'P 1'
loop_
_atom_site_label
_atom_site_type_symbol
_atom_site_fract_x
_atom_site_fract_y
_atom_site_fract_z
_atom_site_occupancy
Sc1 Sc 0.9204 0.6008 0.7599 1
Sc2 Sc 0.3992 0.0796 0.2401 1
Sc3 Sc 0.6008 0.9204 0.7599 1
Sc4 Sc 0.2364 0.2364 0.7528 1
Sc5 Sc 0.0796 0.3992 0.2401 1
Sc6 Sc 0.7636 0.7636 0.2472 1
Sb1 Sb 0.5000 0.5000 0.5000 1
Sb2 Sb 0.6652 0.3348 0.0000 1
Sb3 Sb 0.8276 0.1724 0.5000 1
Sb4 Sb 0.3348 0.6652 0.0000 1
Sb5 Sb 0.1724 0.8276 0.5000 1
As1 As 0.0000 0.0000 0.0000 1
```

Record 3
## ScSbAs2 (PBE)

Data for a relaxed ScSbAs2 crystal.

Computed properties:
The space-group type is I-42d, No. 122. The raw formation energy is -0.27 eV/atom. The density of states at the Fermi level comes out at 0.473 states/eV/f.u.

The structure in CIF format:
```
data_ScSbAs2
_cell_length_a 6.1906
_cell_length_b 6.1906
_cell_length_c 7.8172
_cell_angle_alpha 66.67
_cell_angle_beta 66.67
_cell_angle_gamma 90.00
_symmetry_space_group_name_H-M 'P 1'
_symmetry_Int_Tables_number 1
_symmetry_space_group_name_Hall 'P 1'
loop_
_atom_site_label
_atom_site_type_symbol
_atom_site_fract_x
_atom_site_fract_y
_atom_site_fract_z
_atom_site_occupancy
Sb1 Sb 0.7500 0.2500 0.5000 1
Sb2 Sb 0.0000 0.0000 0.0000 1
Sc1 Sc 0.2500 0.7500 0.5000 1
Sc2 Sc 0.5000 0.5000 0.0000 1
As1 As 0.3750 0.3947 0.7500 1
As2 As 0.8750 0.8553 0.7500 1
As3 As 0.1447 0.6250 0.2500 1
As4 As 0.6053 0.1250 0.2500 1
```

Record 4
## ScSb2As (PBE)

Data for a relaxed ScSb2As crystal.

Computed properties:
The space-group type is P4/mmm, No. 123. The raw formation energy is -0.27 eV/atom. The density of states at the Fermi level comes out at 2.646 states/eV/f.u.

The structure in CIF format:
```
data_ScSb2As
_cell_length_a 4.0508
_cell_length_b 4.0516
_cell_length_c 5.7800
_cell_angle_alpha 90.00
_cell_angle_beta 90.00
_cell_angle_gamma 90.00
_symmetry_space_group_name_H-M 'P 1'
_symmetry_Int_Tables_number 1
_symmetry_space_group_name_Hall 'P 1'
loop_
_atom_site_label
_atom_site_type_symbol
_atom_site_fract_x
_atom_site_fract_y
_atom_site_fract_z
_atom_site_occupancy
Sc1 Sc 0.5000 0.5000 0.2500 1
Sb1 Sb 0.0000 0.0000 0.5017 1
Sb2 Sb 0.0000 0.0000 0.9983 1
As1 As 0.5000 0.5000 0.7500 1
```

Record 5
## ScSbAs2 (PBE)

Data for a relaxed ScSbAs2 crystal.

Computed properties:
The space-group type is P4mm, No. 99. The raw formation energy is -0.23 eV/atom. The density of states at the Fermi level comes out at 3.345 states/eV/f.u.

The structure in CIF format:
```
data_ScSbAs2
_cell_length_a 3.4198
_cell_length_b 3.4198
_cell_length_c 8.0458
_cell_angle_alpha 90.00
_cell_angle_beta 90.00
_cell_angle_gamma 90.00
_symmetry_space_group_name_H-M 'P 1'
_symmetry_Int_Tables_number 1
_symmetry_space_group_name_Hall 'P 1'
loop_
_atom_site_label
_atom_site_type_symbol
_atom_site_fract_x
_atom_site_fract_y
_atom_site_fract_z
_atom_site_occupancy
As1 As 0.0000 0.0000 0.0098 1
As2 As 0.5000 0.5000 0.1513 1
Sc1 Sc 0.5000 0.5000 0.7956 1
Sb1 Sb 0.0000 0.0000 0.5434 1
```

Record 6
## ScSbAs2 (PBE)

Data for a relaxed ScSbAs2 crystal.

Computed properties:
The space-group type is R-3m, No. 166. The raw formation energy is -0.52 eV/atom. The density of states at the Fermi level comes out at 0.237 states/eV/f.u.

The structure in CIF format:
```
data_ScSbAs2
_cell_length_a 7.0655
_cell_length_b 7.0655
_cell_length_c 7.0655
_cell_angle_alpha 32.85
_cell_angle_beta 32.85
_cell_angle_gamma 32.85
_symmetry_space_group_name_H-M 'P 1'
_symmetry_Int_Tables_number 1
_symmetry_space_group_name_Hall 'P 1'
loop_
_atom_site_label
_atom_site_type_symbol
_atom_site_fract_x
_atom_site_fract_y
_atom_site_fract_z
_atom_site_occupancy
As1 As 0.9955 0.9955 0.9955 1
As2 As 0.5045 0.5045 0.5045 1
Sc1 Sc 0.2500 0.2500 0.2500 1
Sb1 Sb 0.7500 0.7500 0.7500 1
```